Here is Tb2Be7Pt12 after structural relaxation from Alexandria via LeMat-Bulk. Energies are from PBE.

Geometry as POSCAR:
```
Tb2Be7Pt12
1.0
-1.7170 0.1217 3.4144
0.2722 -9.5110 0.4760
7.2320 5.1511 3.4530
Tb Be Pt
2 7 12
direct
0.5000 0.0000 0.0000
0.0000 0.6667 0.3333
0.0000 0.3333 0.6667
0.0000 0.0451 0.7770
0.0000 0.7319 0.9549
0.0000 0.2230 0.2681
0.5000 0.6218 0.5606
0.5000 0.9388 0.3782
0.5000 0.4394 0.0612
0.5000 0.8876 0.6058
0.5000 0.7182 0.1124
0.5000 0.3942 0.2818
0.5000 0.2267 0.7984
0.5000 0.5717 0.7733
0.5000 0.2016 0.4283
0.0000 0.0601 0.5459
0.0000 0.4858 0.9399
0.0000 0.4541 0.5142
0.0000 0.7776 0.7356
0.0000 0.9579 0.2224
0.0000 0.2644 0.0421
```

Summary:
**Total magnetic moment**: 0.00 μB per formula unit
**ΔH_f (0 K)**: -16.81 eV per formula unit

Here is Tb3Be2Pt5 after structural relaxation from Alexandria via LeMat-Bulk. Energies are from PBE.

Geometry as POSCAR:
```
Tb3Be2Pt5
1.0
-1.6855 -2.0028 2.5644
8.4648 -4.3838 2.1398
1.8983 6.9079 6.6428
Tb Be Pt
6 4 10
direct
0.0000 0.3224 0.8224
0.0000 0.6776 0.1776
0.0000 0.1776 0.3224
0.0000 0.8224 0.6776
0.0000 0.0000 0.0000
0.0000 0.5000 0.5000
0.0000 0.1149 0.6149
0.0000 0.8851 0.3851
0.0000 0.3851 0.1149
0.0000 0.6149 0.8851
0.5000 0.2241 0.0706
0.5000 0.7759 0.9294
0.5000 0.9294 0.2241
0.5000 0.0706 0.7759
0.5000 0.2759 0.5706
0.5000 0.7241 0.4294
0.5000 0.5706 0.7241
0.5000 0.4294 0.2759
0.5000 0.0000 0.5000
0.5000 0.5000 0.0000
```

Summary:
**Total magnetic moment**: 0.00 μB per formula unit
**ΔH_f (0 K)**: -10.58 eV per formula unit

Here is TbBe2Pt2 after structural relaxation from Alexandria via LeMat-Bulk. Energies are from PBE.

Geometry as POSCAR:
```
TbBe2Pt2
1.0
4.0606 0.0328 0.0000
-0.6655 4.0058 0.0000
0.0000 0.0000 9.7297
Tb Be Pt
2 4 4
direct
0.7508 0.7508 0.2500
0.2492 0.2492 0.7500
0.2494 0.7506 0.0000
0.7506 0.2494 0.5000
0.2494 0.7506 0.5000
0.7506 0.2494 0.0000
0.7490 0.7490 0.6098
0.2510 0.2510 0.1098
0.7490 0.7490 0.8902
0.2510 0.2510 0.3902
```

Summary:
**Total magnetic moment**: 0.00 μB per formula unit
**ΔH_f (0 K)**: -4.25 eV per formula unit
**Energy above the lowest structure with this stoichiometry**: 65.7 meV per atom

Here is Tb2BePt6 after structural relaxation from Alexandria via LeMat-Bulk. Energies are from PBE.

Geometry as POSCAR:
```
Tb2BePt6
1.0
5.2369 0.0448 3.0509
1.7838 4.9240 3.0509
0.0706 0.0500 5.9837
Tb Be Pt
2 1 6
direct
0.2497 0.2497 0.2449
0.7503 0.7503 0.7551
0.5000 0.5000 0.5000
0.2387 0.2387 0.7563
0.2360 0.7589 0.2406
0.7640 0.2411 0.7594
0.7589 0.2360 0.2406
0.2411 0.7640 0.7594
0.7613 0.7613 0.2437
```

Summary:
**Total magnetic moment**: 0.00 μB per formula unit
**ΔH_f (0 K)**: -9.42 eV per formula unit